ZrNiIr | Alexandria via LeMat-Bulk | GGA-PBE | optimized geometry; total moment = 0.38 μB/f.u.; theoretical density = 11.96 g/cm3; N(E_F) = 1.816 states/eV/atom; formation energy from the elements = -1.25 eV per formula unit; volume = 15.84 Å³/atom
1.0
-2.560 -2.695 3.165
1.389 -4.521 1.211
1.467 4.651 -0.232
Zr Ni Ir
1 1 1
Cartesian
-0.778 -4.797 2.909 Zr
-0.398 -2.450 1.486 Ni
-1.166 -7.184 4.356 Ir